Record 1
# FeAgO2F (GGA+U, optimized geometry)
# Uncorrected energy (eV/cell): -20.9
data_FeAgO2F
_symmetry_space_group_name_H-M 'P 4/m m m'
_symmetry_Int_Tables_number 123
_symmetry_space_group_name_Hall '-P 4 2'
_cell_length_a 4.091
_cell_length_b 4.091
_cell_length_c 4.100
_cell_angle_alpha 90.00
_cell_angle_beta 90.00
_cell_angle_gamma 90.00
loop_
_atom_site_label
_atom_site_fract_x
_atom_site_fract_y
_atom_site_fract_z
_atom_site_occupancy
Fe1 0.000 0.000 0.000 1
Ag1 0.500 0.500 0.500 1
O1 0.000 0.500 0.500 1
F1 0.500 0.500 0.000 1



Record 2
# FeAgO2F (GGA+U, optimized geometry)
# Uncorrected energy (eV/cell): -24.9
data_FeAgO2F
_symmetry_space_group_name_H-M 'P 4/m m m'
_symmetry_Int_Tables_number 123
_symmetry_space_group_name_Hall '-P 4 2'
_cell_length_a 3.882
_cell_length_b 3.882
_cell_length_c 4.064
_cell_angle_alpha 90.00
_cell_angle_beta 90.00
_cell_angle_gamma 90.00
loop_
_atom_site_label
_atom_site_fract_x
_atom_site_fract_y
_atom_site_fract_z
_atom_site_occupancy
Fe1 0.000 0.000 0.000 1
Ag1 0.500 0.500 0.500 1
O1 0.000 0.500 0.000 1
F1 0.000 0.000 0.500 1



Record 3
# Fe2AgPF (GGA+U, optimized geometry)
# Uncorrected energy (eV/cell): -17.9
data_Fe2AgPF
_symmetry_space_group_name_H-M 'P 4/m m m'
_symmetry_Int_Tables_number 123
_symmetry_space_group_name_Hall '-P 4 2'
_cell_length_a 5.080
_cell_length_b 5.080
_cell_length_c 4.038
_cell_angle_alpha 90.00
_cell_angle_beta 90.00
_cell_angle_gamma 90.00
loop_
_atom_site_label
_atom_site_fract_x
_atom_site_fract_y
_atom_site_fract_z
_atom_site_occupancy
Fe1 0.000 0.500 0.000 1
Ag1 0.000 0.000 0.000 1
P1 0.500 0.500 0.500 1
F1 0.000 0.000 0.500 1